# 1
Below is a relaxed NaLaDyAl crystal, with properties calculated at the GGA-PBE level.

The energy of formation from the pure elements comes out at -51 meV/atom.

The space group is F-43m (No. 216) and the conventional cell measures 7.6583, 7.6583 and 7.6583 Å, with angles of 90.00, 90.00 and 90.00 degrees. The asymmetric unit holds Na at (0.0000, 0.0000, 0.0000), La at (0.2500, 0.2500, 0.7500), Dy at (0.2500, 0.2500, 0.2500) and Al at (0.0000, 0.0000, 0.5000).

# 2
Below is a relaxed Pr6CdCu crystal, with properties calculated at the GGA-PBE level.

The energy of formation from the pure elements comes out at -76 meV/atom.

The space group is I4/mmm (No. 139) and the conventional cell measures 5.2980, 5.2980 and 17.9681 Å, with angles of 90.00, 90.00 and 90.00 degrees. The asymmetric unit holds Pr at (0.0000, 0.0000, 0.2486), Pr at (0.0000, 0.5000, 0.1055), Cd at (0.0000, 0.0000, 0.0000) and Cu at (0.0000, 0.0000, 0.5000).

# 3
Below is a relaxed HfCdTe2As crystal, with properties calculated at the GGA-PBE level.

For the formation energy without anion corrections, the calculation gives 0.86 eV per atom. As for the energy above the most stable polymorph in this dataset: 0.848 eV/atom.

The space group is P4/mmm (No. 123) and the conventional cell measures 5.4611, 5.4611 and 4.9893 Å, with angles of 90.00, 90.00 and 90.00 degrees. The asymmetric unit holds Hf at (0.0000, 0.0000, 0.0000), Cd at (0.5000, 0.5000, 0.5000), Te at (0.0000, 0.5000, 0.5000) and As at (0.5000, 0.5000, 0.0000).

# 4
Below is a relaxed K3Th3CuSe8 crystal, with properties calculated at the GGA-PBE level.

For the formation energy without anion corrections, the calculation gives -1.40 eV per atom.

The space group is C2/m (No. 12) and the conventional cell measures 14.3384, 8.8989 and 8.9688 Å, with angles of 90.00, 120.73 and 90.00 degrees. The asymmetric unit holds K at (0.0000, 0.0000, 0.0000), K at (0.2500, 0.2500, 0.0000), Th at (0.0000, 0.5000, 0.5000), Th at (0.2500, 0.2500, 0.5000), Cu at (0.0000, 0.0000, 0.5000), Se at (0.0213, 0.2787, 0.2833), Se at (0.1978, 0.0000, 0.6678) and Se at (0.2399, 0.5000, 0.7153).

What spin magnetization values result from the calculations? In sequence: 0.000 0.000 0.002 0.000 μB per atom.